Cs3Pr2YSe6 (PBE, optimized geometry); E = -60.222 eV per formula unit; ρ = 4.93 Mg/m³; DOS at the Fermi energy = 0.00 states/eV per atom; ΔE_f (raw) = -20.73 eV/f.u.; magnetic moment = 0.00 μB/cell
1.0
3.7937 -6.5708 0.0000
3.7937 6.5708 0.0000
-2.5308 0.0000 8.4040
Cs Pr Y Se
3 2 1 6
Direct
0.0000 0.0000 0.0000
0.3314 0.6686 0.0000
0.6686 0.3314 0.0000
0.1665 0.8335 0.5000
0.8335 0.1665 0.5000
0.5000 0.5000 0.5000
0.1126 0.4368 0.3105
0.2393 0.2393 0.6903
0.4368 0.1126 0.3105
0.5632 0.8874 0.6895
0.7607 0.7607 0.3097
0.8874 0.5632 0.6895